(1)
First-principles (meta-GGA SCAN) data for a PBEsol-optimized structure of NaYTa2Rh, as listed in Alexandria via LeMat-Bulk.

Lattice parameters (Å, degrees): 4.785 4.785 5.085 90.00 90.00 90.00
Element x y z (fractional)
1 Y 0.500 0.500 0.500
2 Na 0.000 0.000 0.500
3 Rh 0.000 0.000 0.000
4 Ta 0.000 0.500 0.000
5 Ta 0.500 0.000 0.000

Results
E_tot	-39.045	eV per atom
E_form	72.8	kJ/mol of atoms
size of the total moment	0.0	μB/f.u.

(2)
First-principles (meta-GGA SCAN) data for a PBEsol-optimized structure of NaTl3Rh, as listed in Alexandria via LeMat-Bulk.

Lattice parameters (Å, degrees): 5.205 5.205 5.205 90.00 90.00 90.00
Element x y z (fractional)
1 Na 0.500 0.500 0.500
2 Tl 0.000 0.500 0.000
3 Tl 0.000 0.000 0.500
4 Tl 0.500 0.000 0.000
5 Rh 0.000 0.000 0.000

Results
E_tot	-51.055	eV per atom
E_form	-4.1	kJ/mol of atoms
size of the total moment	0.0	μB/f.u.

(3)
First-principles (meta-GGA SCAN) data for a PBEsol-optimized structure of NaZr3Rh, as listed in Alexandria via LeMat-Bulk.

Lattice parameters (Å, degrees): 4.772 4.772 4.772 90.00 90.00 90.00
Element x y z (fractional)
1 Na 0.000 0.000 0.000
2 Rh 0.500 0.500 0.500
3 Zr 0.000 0.500 0.000
4 Zr 0.000 0.000 0.500
5 Zr 0.500 0.000 0.000

Results
E_tot	-24.384	eV per atom
E_form	157.6	kJ/mol of atoms
size of the total moment	0.0	μB/f.u.